Al4AgO7 | PBE | optimized geometry

CIF file:
```
data_Al4AgO7
_cell_length_a 13.504
_cell_length_b 5.288
_cell_length_c 5.161
_cell_angle_alpha 90.00
_cell_angle_beta 90.00
_cell_angle_gamma 90.00
_symmetry_space_group_name_H-M 'P 1'
_symmetry_Int_Tables_number 1
_symmetry_space_group_name_Hall 'P 1'
loop_
_atom_site_label
_atom_site_type_symbol
_atom_site_fract_x
_atom_site_fract_y
_atom_site_fract_z
Al1 Al 0.123 0.178 0.000
Al2 Al 0.247 0.342 0.491
Al3 Al 0.253 0.658 0.991
Al4 Al 0.377 0.822 0.500
Al5 Al 0.623 0.822 0.500
Al6 Al 0.747 0.658 0.991
Al7 Al 0.753 0.342 0.491
Al8 Al 0.877 0.178 0.000
Ag1 Ag 0.000 0.708 0.887
Ag2 Ag 0.500 0.292 0.387
O1 O 0.000 0.257 0.908
O2 O 0.145 0.242 0.323
O3 O 0.148 0.854 0.943
O4 O 0.213 0.371 0.828
O5 O 0.287 0.629 0.328
O6 O 0.352 0.146 0.443
O7 O 0.355 0.758 0.823
O8 O 0.500 0.743 0.408
O9 O 0.645 0.758 0.823
O10 O 0.648 0.146 0.443
O11 O 0.713 0.629 0.328
O12 O 0.787 0.371 0.828
O13 O 0.852 0.854 0.943
O14 O 0.855 0.242 0.323
```

Values from the calculation:
As for the symmetry: Pmn2_1, No. 31. The size of the total moment comes out at 1.0 μB per cell. The value obtained for the uncorrected formation energy is -28.434 eV per formula unit.